## RbAlPd2I (PBE)

Data for a relaxed RbAlPd2I crystal.

Cell lengths 5.1612, 6.5008, 5.1612 Å; angles 90.00, 90.00, 90.00 degrees
With the nearest neighbours (Å) after each atom.
Sites, in units of the cell vectors:
Rb 0.0000 0.5000 0.0000  2 I 3.25
Al 0.5000 0.5000 0.5000  4 Rb 3.65
Pd 0.0000 0.0000 0.5000  2 I 2.58
I 0.0000 0.0000 0.0000  4 Pd 2.58
Pd 0.5000 0.0000 0.0000  2 I 2.58

Calculated values
Symmetry: P4/mmm
Total DFT energy (no corrections) in eV/atom: -2.832

=====

## AlSbPdI2 (PBE)

Data for a relaxed AlSbPdI2 crystal.

Cell lengths 5.6695, 5.6695, 5.1396 Å; angles 90.00, 90.00, 90.00 degrees
With the nearest neighbours (Å) after each atom.
Sites, in units of the cell vectors:
I 0.5000 0.0000 0.0000  2 Pd 2.83
Sb 0.0000 0.0000 0.5000  2 Pd 2.57
I 0.0000 0.5000 0.0000  2 Pd 2.83
Al 0.5000 0.5000 0.5000  8 I 3.83, 4 Sb 4.01
Pd 0.0000 0.0000 0.0000  2 Sb 2.57, 4 I 2.83

Calculated values
Symmetry: P4/mmm
Total DFT energy (no corrections) in eV/atom: -2.942

=====

## AlSbPdI2 (PBE)

Data for a relaxed AlSbPdI2 crystal.

Cell lengths 5.4740, 5.4740, 5.3573 Å; angles 90.00, 90.00, 90.00 degrees
With the nearest neighbours (Å) after each atom.
Sites, in units of the cell vectors:
I 0.0000 0.5000 0.0000  2 Al 2.74
Al 0.0000 0.0000 0.0000  2 Sb 2.68, 4 I 2.74
Sb 0.0000 0.0000 0.5000  2 Al 2.68
Pd 0.5000 0.5000 0.5000  8 I 3.83, 4 Sb 3.87
I 0.5000 0.0000 0.0000  2 Al 2.74

Calculated values
Symmetry: P4/mmm
Total DFT energy (no corrections) in eV/atom: -2.678